Crystalline TlGeTe3Au at its relaxed geometry. Source: Alexandria via LeMat-Bulk, functional PBE.

Cell and atoms, written as extended XYZ:
```
12
Lattice="8.894 0.000 0.000 0.000 4.097 0.000 -3.826 0.000 11.051" Properties=species:S:1:pos:R:3 pbc="T T T"
Tl -0.542 1.024 2.888
Tl 5.610 3.072 8.162
Ge -0.464 3.072 11.035
Ge 5.532 1.024 0.016
Te -0.861 1.024 6.476
Te -2.328 1.024 10.841
Te 2.897 3.072 2.698
Te 2.171 1.024 8.352
Te 7.396 3.072 0.209
Te 5.930 3.072 4.574
Au 0.613 3.072 7.485
Au 4.455 1.024 3.566
```

Output
N(E_F) in states/eV/cell: 3.147
Final energy in eV for the cell shown: -41.01
Space-group type: P2_1/m (11)
Spin magnetization in μB per cell: 0.000



Crystalline Tl2GeTe4Au at its relaxed geometry. Source: Alexandria via LeMat-Bulk, functional PBE.

Cell and atoms, written as extended XYZ:
```
8
Lattice="7.079 0.000 0.000 -2.323 6.687 0.000 -2.324 -3.381 5.769" Properties=species:S:1:pos:R:3 pbc="T T T"
Tl 0.000 0.000 0.000
Tl 1.213 -0.864 4.334
Ge -2.317 1.657 2.886
Te -1.285 3.157 0.954
Te -1.237 2.574 5.133
Te 2.133 1.835 2.572
Te 5.275 -0.948 2.887
Au 1.222 4.167 1.444
```

Output
N(E_F) in states/eV/cell: 5.625
Final energy in eV for the cell shown: -26.24
Space-group type: P1 (1)
Spin magnetization in μB per cell: 0.000



Crystalline Tm8Ge3Te4Au at its relaxed geometry. Source: Alexandria via LeMat-Bulk, functional PBE.

Cell and atoms, written as extended XYZ:
```
16
Lattice="4.192 2.420 7.018 -4.192 2.420 7.018 0.000 -4.840 7.018" Properties=species:S:1:pos:R:3 pbc="T T T"
Tm -2.141 -1.236 12.083
Tm 0.000 0.000 5.033
Tm 0.000 -2.472 8.971
Tm -2.141 1.236 8.971
Tm 2.141 -1.236 12.083
Tm 0.000 2.472 12.083
Tm 0.000 0.000 16.022
Tm 2.141 1.236 8.971
Ge -4.192 0.000 10.527
Ge -2.096 1.210 3.509
Ge 2.096 1.210 3.509
Te 0.000 0.000 0.000
Te -2.096 -1.210 7.018
Te -2.096 1.210 14.036
Te 0.000 2.420 7.018
Au 0.000 0.000 10.527
```

Output
N(E_F) in states/eV/cell: 6.810
Final energy in eV for the cell shown: -82.87
Space-group type: R-3m (166)
Spin magnetization in μB per cell: 0.000



Q: What is the spin magnetization in the third record?
A: 0.000 μB per cell



Q: Which of these has the highest final energy?
A: Tl2GeTe4Au



Q: Which of these has the lowest final energy?
A: Tm8Ge3Te4Au